The following is a PBEsol calculation of an optimized crystal structure of CrSb3P6O24, from Alexandria.

Cell: 8.857 8.857 8.857 Å, 55.82 55.82 55.82°
Fractional positions:
1 Cr 0.000 0.000 0.000
2 Sb 0.285 0.285 0.285
3 Sb 0.493 0.493 0.493
4 Sb 0.791 0.791 0.791
5 P 0.103 0.687 0.388
6 P 0.177 0.607 0.897
7 P 0.388 0.103 0.687
8 P 0.607 0.897 0.177
9 P 0.687 0.388 0.103
10 P 0.897 0.177 0.607
11 O 0.017 0.885 0.254
12 O 0.029 0.265 0.396
13 O 0.127 0.521 0.353
14 O 0.146 0.757 0.951
15 O 0.254 0.017 0.885
16 O 0.265 0.396 0.029
17 O 0.304 0.667 0.357
18 O 0.322 0.630 0.682
19 O 0.353 0.127 0.521
20 O 0.357 0.304 0.667
21 O 0.396 0.029 0.265
22 O 0.521 0.353 0.127
23 O 0.607 0.965 0.653
24 O 0.614 0.926 0.982
25 O 0.630 0.682 0.322
26 O 0.653 0.607 0.965
27 O 0.667 0.357 0.304
28 O 0.682 0.322 0.630
29 O 0.757 0.951 0.146
30 O 0.885 0.254 0.017
31 O 0.926 0.982 0.614
32 O 0.951 0.146 0.757
33 O 0.965 0.653 0.607
34 O 0.982 0.614 0.926

Space group: R3, No. 146
E_tot: -7.360 eV/atom

=====

The following is a PBEsol calculation of an optimized crystal structure of Li2LaMn, from Alexandria.

Cell: 4.941 4.941 4.941 Å, 120.16 120.16 89.73°
Fractional positions:
1 Li 0.000 0.000 0.000
2 Li 0.750 0.250 0.500
3 La 0.500 0.500 0.000
4 Mn 0.250 0.750 0.500

E_form: 0.410 eV per atom
Space group: I-4m2, No. 119
Polymorph energy (0 for the lowest one): 0 meV per atom

=====

The following is a PBEsol calculation of an optimized crystal structure of HgMoOs2, from Alexandria.

Cell: 9.424 9.424 9.424 Å, 16.99 16.99 16.99°
Fractional positions:
1 Hg 0.000 0.000 0.000
2 Mo 0.243 0.243 0.243
3 Os 0.498 0.498 0.498
4 Os 0.756 0.756 0.756

E_form: 0.410 eV per atom
Space group: R3m, No. 160

=====

The following is a PBEsol calculation of an optimized crystal structure of YHg, from Alexandria.

Cell: 5.979 5.979 4.696 Å, 90.00 90.00 142.98°
Fractional positions:
1 Y 0.144 0.856 0.750
2 Y 0.856 0.144 0.250
3 Hg 0.414 0.586 0.750
4 Hg 0.586 0.414 0.250

E_form: -0.585 eV per atom
Space group: Cmcm, No. 63

=====

The following is a PBEsol calculation of an optimized crystal structure of BaSiIr, from Alexandria.

Cell: 4.706 4.706 4.706 Å, 60.00 60.00 60.00°
Fractional positions:
1 Ba 0.000 0.000 0.000
2 Si 0.500 0.500 0.500
3 Ir 0.750 0.750 0.750

Space group: F-43m, No. 216
E_tot: -5.565 eV/atom

=====

The following is a PBEsol calculation of an optimized crystal structure of CrCd2Ag, from Alexandria.

Cell: 3.047 3.047 7.619 Å, 90.00 90.00 90.00°
Fractional positions:
1 Cr 0.000 0.000 0.000
2 Cd 0.500 0.500 0.245
3 Cd 0.500 0.500 0.755
4 Ag 0.000 0.000 0.500

E_form: 0.261 eV per atom
Space group: P4/mmm, No. 123